No. 1
Entry from the Alexandria database: an optimized crystal structure of CdSb2Se (PBE).

Computed properties:
* calculated density: 7.1 Mg/m³
* crystal system: orthorhombic
* N(E_F): 0.498 states/eV per atom
* total energy: -3.04 eV/atom
* offset from the most stable computed form: 278 meV per atom
* uncorrected formation energy: 0.1184 eV per atom

extended XYZ file:
```
4
Lattice="3.6769 0.0000 0.0000 0.0000 4.8302 0.0000 0.0000 0.0000 5.7051" Properties=species:S:1:pos:R:3 pbc="T T T"
Cd 0.0000 0.0000 0.0000
Sb 0.0000 2.4151 2.8526
Sb 1.8384 2.4151 0.0000
Se 1.8384 0.0000 2.8526
```



No. 2
Entry from the Alexandria database: an optimized crystal structure of PmSm2Sn (PBE).

Computed properties:
* calculated density: 7.7 Mg/m³
* crystal system: tetragonal
* formation enthalpy at 0 K: -0.341 eV per atom
* N(E_F): 1.244 states/eV per atom
* total energy: -4.89 eV/atom
* offset from the most stable computed form: 106 meV per atom

extended XYZ file:
```
4
Lattice="4.2327 0.0000 0.0000 0.0000 4.2327 0.0000 0.0000 0.0000 6.8380" Properties=species:S:1:pos:R:3 pbc="T T T"
Pm 0.0000 0.0000 0.0000
Sm 2.1164 2.1164 1.8686
Sm 2.1164 2.1164 4.9694
Sn 0.0000 0.0000 3.4190
```



No. 3
Entry from the Alexandria database: an optimized crystal structure of PuGa2Co (PBE).

Computed properties:
* calculated density: 9.8 Mg/m³
* crystal system: trigonal
* formation enthalpy at 0 K: -0.205 eV per atom
* N(E_F): 2.968 states/eV per atom
* total energy: -7.08 eV/atom

extended XYZ file:
```
12
Lattice="4.0707 0.0000 0.0000 -2.0353 3.5253 0.0000 0.0000 0.0000 15.6057" Properties=species:S:1:pos:R:3 pbc="T T T"
Pu 0.0000 0.0000 0.0000
Pu 0.0000 2.3502 10.4038
Pu 2.0353 1.1751 5.2019
Ga 0.0000 0.0000 3.2741
Ga 0.0000 0.0000 12.3315
Ga 0.0000 2.3502 7.1296
Ga 0.0000 2.3502 13.6779
Ga 2.0353 1.1751 1.9278
Ga 2.0353 1.1751 8.4760
Co 0.0000 0.0000 7.8028
Co 0.0000 2.3502 2.6009
Co 2.0353 1.1751 13.0047
```



No. 4
Entry from the Alexandria database: an optimized crystal structure of RhIF3 (PBE).

Computed properties:
* calculated density: 4.6 Mg/m³
* crystal system: cubic
* N(E_F): 3.537 states/eV per atom
* total energy: -2.88 eV/atom
* offset from the most stable computed form: 1201 meV per atom
* uncorrected formation energy: 0.0261 eV per atom

extended XYZ file:
```
5
Lattice="4.7092 0.0000 0.0000 0.0000 4.7092 0.0000 0.0000 0.0000 4.7092" Properties=species:S:1:pos:R:3 pbc="T T T"
Rh 0.0000 0.0000 0.0000
I 2.3546 2.3546 2.3546
F 0.0000 2.3546 2.3546
F 2.3546 0.0000 2.3546
F 2.3546 2.3546 0.0000
```



No. 5
Entry from the Alexandria database: an optimized crystal structure of KHoSe2O8 (PBE).

Computed properties:
* calculated density: 3.7 Mg/m³
* crystal system: trigonal
* N(E_F): 0.000 states/eV per atom
* total energy: -5.91 eV/atom
* uncorrected formation energy: -1.5478 eV per atom

extended XYZ file:
```
12
Lattice="5.5034 0.0000 0.0000 -2.7517 4.7661 0.0000 0.0000 0.0000 8.2959" Properties=species:S:1:pos:R:3 pbc="T T T"
K 0.0000 0.0000 0.0000
Ho 0.0000 0.0000 4.1479
Se 0.0000 3.1774 6.1325
Se 2.7517 1.5887 2.1634
O -0.4807 1.6791 5.5463
O -1.0572 4.3428 5.5463
O 0.0000 3.1774 7.7730
O 1.2138 1.2558 2.7496
O 1.5379 3.5103 5.5463
O 2.7517 1.5887 0.5229
O 3.8089 0.4233 2.7496
O 3.2324 3.0870 2.7496
```



No. 6
Entry from the Alexandria database: an optimized crystal structure of Ac4LaPm2Pr (PBE).

Computed properties:
* calculated density: 7.5 Mg/m³
* crystal system: tetragonal
* formation enthalpy at 0 K: 0.405 eV per atom
* N(E_F): 2.007 states/eV per atom
* total energy: -4.05 eV/atom

extended XYZ file:
```
16
Lattice="9.4228 0.0000 0.0000 0.0000 9.4228 0.0000 0.0000 0.0000 7.4144" Properties=species:S:1:pos:R:3 pbc="T T T"
Ac 2.3480 2.3480 1.5473
Ac 2.3480 7.0748 5.8671
Ac 2.3634 2.3634 5.2544
Ac 2.3634 7.0594 2.1599
Ac 7.0594 2.3634 2.1599
Ac 7.0594 7.0594 5.2544
Ac 7.0748 2.3480 5.8671
Ac 7.0748 7.0748 1.5473
La 0.0000 0.0000 3.7072
La 4.7114 4.7114 0.0000
Pm 0.0000 4.7114 1.8536
Pm 0.0000 4.7114 5.5608
Pm 4.7114 0.0000 1.8536
Pm 4.7114 0.0000 5.5608
Pr 0.0000 0.0000 0.0000
Pr 4.7114 4.7114 3.7072
```